Entry 1:
A geometry-optimized Tb2PmGa structure. Source: Alexandria, functional PBE.

Calculated values
Formation energy = -0.022 eV/atom
Magnetic moment = 0.0 Bohr magnetons per cell
E = -4.2818 eV per atom

Unit cell a=11.5441 b=11.5441 c=11.5441 alpha=17.52 beta=17.52 gamma=17.52
Closest atoms and distances in Å follow each position.
Sites, in units of the cell vectors:
Tb  0.1029  0.1029  0.1029  3 Ga 2.97
Tb  0.8971  0.8971  0.8971  3 Ga 2.97
Pm  0.0000  0.0000  0.0000  2 Tb 3.51, 6 Pm 3.52
Ga  0.5000  0.5000  0.5000  6 Tb 2.97

---

Entry 2:
A geometry-optimized TbPm2Ga6 structure. Source: Alexandria, functional PBE.

Calculated values
Formation energy = -0.443 eV/atom
Magnetic moment = 0.0 Bohr magnetons per cell
E = -4.0309 eV per atom

Unit cell a=7.9461 b=7.9461 c=7.9461 alpha=148.02 beta=126.91 gamma=63.34
Closest atoms and distances in Å follow each position.
Sites, in units of the cell vectors:
Tb  0.0000  0.0000  0.0000  4 Ga 3.10
Pm  0.3709  0.8709  0.5000  10 Ga 2.92-3.18
Pm  0.6291  0.1291  0.5000  10 Ga 2.92-3.18
Ga  0.0095  0.3209  0.6886  2 Ga 2.57-2.68
Ga  0.3097  0.5000  0.8097  3 Ga 2.57-2.70
Ga  0.3676  0.6791  0.6886  2 Ga 2.57-2.68
Ga  0.6324  0.3209  0.3114  2 Ga 2.57-2.68
Ga  0.6903  0.5000  0.1903  3 Ga 2.57-2.70
Ga  0.9905  0.6791  0.3114  2 Ga 2.57-2.68

---

Entry 3:
A geometry-optimized Tb3PmGa3 structure. Source: Alexandria, functional PBE.

Calculated values
Formation energy = -0.436 eV/atom
Magnetic moment = 0.0 Bohr magnetons per cell
E = -4.3966 eV per atom

Unit cell a=9.2757 b=9.2757 c=4.7960 alpha=90.00 beta=90.00 gamma=120.00
Closest atoms and distances in Å follow each position.
Sites, in units of the cell vectors:
Tb  0.0188  0.2576  0.2500  4 Ga 2.95-3.08
Tb  0.2388  0.9812  0.2500  4 Ga 2.95-3.08
Tb  0.2576  0.2388  0.7500  4 Ga 2.95-3.08
Tb  0.7424  0.7612  0.2500  4 Ga 2.95-3.08
Tb  0.7612  0.0188  0.7500  4 Ga 2.95-3.08
Tb  0.9812  0.7424  0.7500  4 Ga 2.95-3.08
Pm  0.3333  0.6667  0.7500  9 Ga 3.22-3.35
Pm  0.6667  0.3333  0.2500  9 Ga 3.22-3.35
Ga  0.0568  0.6073  0.2500  4 Tb 2.95-3.08, 2 Ga 2.95, 1 Pm 3.22
Ga  0.3927  0.4495  0.2500  4 Tb 2.95-3.08, 2 Ga 2.95, 1 Pm 3.22
Ga  0.4495  0.0568  0.7500  4 Tb 2.95-3.08, 2 Ga 2.95, 1 Pm 3.22
Ga  0.5505  0.9432  0.2500  4 Tb 2.95-3.08, 2 Ga 2.95, 1 Pm 3.22
Ga  0.6073  0.5505  0.7500  4 Tb 2.95-3.08, 2 Ga 2.95, 1 Pm 3.22
Ga  0.9432  0.3927  0.7500  4 Tb 2.95-3.08, 2 Ga 2.95, 1 Pm 3.22

---

Entry 4:
A geometry-optimized Tb2PmGa structure. Source: Alexandria, functional PBE.

Calculated values
Formation energy = -0.046 eV/atom
Magnetic moment = 1.3 Bohr magnetons per cell
E = -4.3059 eV per atom

Unit cell a=5.3685 b=5.3685 c=5.3685 alpha=60.00 beta=60.00 gamma=60.00
Closest atoms and distances in Å follow each position.
Sites, in units of the cell vectors:
Tb  0.2500  0.2500  0.2500  4 Pm 3.29, 4 Ga 3.29
Tb  0.7500  0.7500  0.7500  4 Pm 3.29, 4 Ga 3.29
Pm  0.0000  0.0000  0.0000  8 Tb 3.29
Ga  0.5000  0.5000  0.5000  8 Tb 3.29

---

Entry 5:
A geometry-optimized Tb2PmGa6 structure. Source: Alexandria, functional PBE.

Calculated values
Formation energy = -0.661 eV/atom
Magnetic moment = 0.0 Bohr magnetons per cell
E = -4.2357 eV per atom

Unit cell a=7.3286 b=7.3286 c=4.1823 alpha=90.00 beta=90.00 gamma=120.00
Closest atoms and distances in Å follow each position.
Sites, in units of the cell vectors:
Tb  0.3333  0.6667  0.0000  12 Ga 3.21
Tb  0.6667  0.3333  0.0000  12 Ga 3.21
Pm  0.0000  0.0000  0.0000  12 Ga 3.22
Ga  0.0000  0.3342  0.5000  3 Ga 2.43-2.45
Ga  0.0000  0.6658  0.5000  3 Ga 2.43-2.45
Ga  0.3342  0.0000  0.5000  3 Ga 2.43-2.45
Ga  0.3342  0.3342  0.5000  3 Ga 2.43-2.45
Ga  0.6658  0.0000  0.5000  3 Ga 2.43-2.45
Ga  0.6658  0.6658  0.5000  3 Ga 2.43-2.45

---

Entry 6:
A geometry-optimized TbPm5Ga3 structure. Source: Alexandria, functional PBE.

Calculated values
Formation energy = -0.371 eV/atom
Magnetic moment = 0.0 Bohr magnetons per cell
E = -4.5333 eV per atom

Unit cell a=9.1270 b=9.1270 c=6.7537 alpha=90.00 beta=90.00 gamma=120.00
Closest atoms and distances in Å follow each position.
Sites, in units of the cell vectors:
Tb  0.0000  0.0000  0.0000  2 Tb 3.38, 6 Ga 3.43, 6 Pm 3.50
Tb  0.0000  0.0000  0.5000  2 Tb 3.38, 6 Ga 3.43, 6 Pm 3.50
Pm  0.0000  0.3364  0.2500  5 Ga 3.03-3.38
Pm  0.0000  0.6636  0.7500  5 Ga 3.03-3.38
Pm  0.3333  0.6667  0.0000  8 Pm 3.38-3.47, 6 Ga 3.51
Pm  0.3333  0.6667  0.5000  8 Pm 3.38-3.47, 6 Ga 3.51
Pm  0.3364  0.0000  0.2500  5 Ga 3.03-3.38
Pm  0.3364  0.3364  0.7500  5 Ga 3.03-3.38
Pm  0.6636  0.0000  0.7500  5 Ga 3.03-3.38
Pm  0.6636  0.6636  0.2500  5 Ga 3.03-3.38
Pm  0.6667  0.3333  0.0000  8 Pm 3.38-3.47, 6 Ga 3.51
Pm  0.6667  0.3333  0.5000  8 Pm 3.38-3.47, 6 Ga 3.51
Ga  0.0000  0.3269  0.7500  5 Pm 3.03-3.38
Ga  0.0000  0.6731  0.2500  5 Pm 3.03-3.38
Ga  0.3269  0.0000  0.7500  5 Pm 3.03-3.38
Ga  0.3269  0.3269  0.2500  5 Pm 3.03-3.38
Ga  0.6731  0.0000  0.2500  5 Pm 3.03-3.38
Ga  0.6731  0.6731  0.7500  5 Pm 3.03-3.38

---

| no. | theoretical density (Mg/m³) | DOS(E_F) (states/eV per cell) |
| --- | --- | --- |
| 1 | 7.27 | 5.71 |
| 2 | 6.85 | 5.15 |
| 3 | 7.72 | 10.97 |
| 4 | 8.08 | 5.79 |
| 5 | 7.52 | 5.74 |
| 6 | 7.45 | 20.74 |